1.
Compound: ZnAg5
Source: Alexandria
Functional: GGA-PBEsol
Structure: relaxed

## Properties
M_tot   0.00 Bohr magnetons per cell
Volume   96 Å³/cell
Density of states at the Fermi level   1.62 states/eV per cell
Formation energy from the elements   -0.0225 eV/atom
Crystal system   tetragonal

Unit cell a=2.848 b=2.848 c=11.869 alpha=90.00 beta=90.00 gamma=90.00
Space group P4/mmm (No. 123)
Asymmetric unit:
Zn  0.000  0.000  0.000 x1
Ag  0.000  0.000  0.329 x2
Ag  0.500  0.500  0.155 x2
Ag  0.500  0.500  0.500 x1

---

2.
Compound: Sr2MgZn
Source: Alexandria
Functional: GGA-PBEsol
Structure: relaxed

## Properties
M_tot   0.00 Bohr magnetons per cell
Volume   130 Å³/cell
Density of states at the Fermi level   2.63 states/eV per cell
Formation energy from the elements   -0.0333 eV/atom
Crystal system   tetragonal

Unit cell a=3.806 b=3.806 c=8.958 alpha=90.00 beta=90.00 gamma=90.00
Space group P4mm (No. 99)
Asymmetric unit:
Sr  0.000  0.000  0.000 x1
Sr  0.500  0.500  0.374 x1
Mg  0.500  0.500  0.743 x1
Zn  0.000  0.000  0.601 x1

---

3.
Compound: Ca2AgP
Source: Alexandria
Functional: GGA-PBEsol
Structure: relaxed

## Properties
M_tot   0.00 Bohr magnetons per cell
Volume   102 Å³/cell
Density of states at the Fermi level   0.90 states/eV per cell
Formation energy from the elements   -0.5146 eV/atom
Crystal system   tetragonal

Unit cell a=4.193 b=4.193 c=5.820 alpha=90.00 beta=90.00 gamma=90.00
Space group P4mm (No. 99)
Asymmetric unit:
Ca  0.000  0.000  0.000 x1
Ca  0.500  0.500  0.481 x1
Ag  0.500  0.500  0.976 x1
P  0.000  0.000  0.498 x1

---

4.
Compound: YAl2N
Source: Alexandria
Functional: GGA-PBEsol
Structure: relaxed

## Properties
M_tot   0.02 Bohr magnetons per cell
Uncorrected formation energy   -0.210 eV/atom
Volume   302 Å³/cell
Density of states at the Fermi level   16.57 states/eV per cell
Crystal system   tetragonal

Unit cell a=6.101 b=6.101 c=8.115 alpha=90.00 beta=90.00 gamma=90.00
Space group I-42d (No. 122)
Asymmetric unit:
Y  0.000  0.000  0.000 x4
Al  0.088  0.250  0.625 x8
N  0.000  0.000  0.500 x4

---

Copy entry 2 word for word.
Compound: Sr2MgZn
Source: Alexandria
Functional: GGA-PBEsol
Structure: relaxed

## Properties
M_tot   0.00 Bohr magnetons per cell
Volume   130 Å³/cell
Density of states at the Fermi level   2.63 states/eV per cell
Formation energy from the elements   -0.0333 eV/atom
Crystal system   tetragonal

Unit cell a=3.806 b=3.806 c=8.958 alpha=90.00 beta=90.00 gamma=90.00
Space group P4mm (No. 99)
Asymmetric unit:
Sr  0.000  0.000  0.000 x1
Sr  0.500  0.500  0.374 x1
Mg  0.500  0.500  0.743 x1
Zn  0.000  0.000  0.601 x1

---

Q: Look up the density of states at the Fermi level of the third one.
A: 0.90 states/eV per cell